[1]
## Tb2HoGa3NiGe2 (PBE-GGA)

Data for a geometry-optimized Tb2HoGa3NiGe2 structure.

Lattice parameters (Å, degrees): 4.157 6.986 6.986 119.93 90.00 90.00
Atoms (fractional coordinates):
Tb 0.000 0.600 0.000
Tb 0.000 0.000 0.600
Ho 0.000 0.399 0.399
Ga 0.500 0.229 0.001
Ga 0.500 0.001 0.229
Ga 0.500 0.771 0.771
Ge 0.500 0.666 0.334
Ge 0.500 0.334 0.666
Ni 0.000 0.001 0.001

## Properties
theoretical density: 8.46 g cm⁻³
symmetry: Amm2 (38)

[2]
## TbHo2Ga3NiGe2 (PBE-GGA)

Data for a geometry-optimized TbHo2Ga3NiGe2 structure.

Lattice parameters (Å, degrees): 4.144 6.980 6.980 120.04 90.00 90.00
Atoms (fractional coordinates):
Ho 0.000 0.399 0.000
Ho 0.000 0.000 0.399
Ga 0.500 0.771 0.000
Ga 0.500 0.229 0.229
Ga 0.500 0.000 0.771
Ge 0.500 0.667 0.333
Ge 0.500 0.333 0.667
Tb 0.000 0.600 0.600
Ni 0.000 0.001 0.001

## Properties
theoretical density: 8.57 g cm⁻³
symmetry: Amm2 (38)

[3]
## HoGaGePt2 (PBE-GGA)

Data for a geometry-optimized HoGaGePt2 structure.

Lattice parameters (Å, degrees): 4.195 4.195 10.568 90.00 90.00 90.00
Atoms (fractional coordinates):
Ho 0.500 0.000 0.749
Ho 0.000 0.500 0.251
Pt 0.000 0.500 0.638
Pt 0.500 0.500 0.000
Pt 0.000 0.000 0.000
Pt 0.500 0.000 0.362
Ge 0.500 0.000 0.135
Ge 0.000 0.500 0.865
Ga 0.500 0.500 0.500
Ga 0.000 0.000 0.500

## Properties
theoretical density: 12.45 g cm⁻³
symmetry: P4/nmm (129)

[4]
## Nd2GaGeI2 (PBE-GGA)

Data for a geometry-optimized Nd2GaGeI2 structure.

Lattice parameters (Å, degrees): 4.277 4.277 12.013 90.00 90.00 120.00
Atoms (fractional coordinates):
Nd 0.667 0.333 0.824
Nd 0.667 0.333 0.175
I 0.000 0.000 0.652
I 0.333 0.667 0.347
Ge 0.333 0.667 0.980
Ga 0.000 0.000 0.022

## Properties
theoretical density: 5.97 g cm⁻³
symmetry: P3m1 (156)

[5]
## Pr2GaGeI2 (PBE-GGA)

Data for a geometry-optimized Pr2GaGeI2 structure.

Lattice parameters (Å, degrees): 4.297 4.297 12.091 90.00 90.00 120.00
Atoms (fractional coordinates):
Ga 0.000 0.000 0.022
Pr 0.667 0.333 0.175
Pr 0.667 0.333 0.824
I 0.000 0.000 0.651
I 0.333 0.667 0.348
Ge 0.333 0.667 0.980

## Properties
theoretical density: 5.82 g cm⁻³
symmetry: P3m1 (156)

[6]
## GaGe2Ir (PBE-GGA)

Data for a geometry-optimized GaGe2Ir structure.

Lattice parameters (Å, degrees): 4.515 4.515 4.515 60.00 60.00 60.00
Atoms (fractional coordinates):
Ge 0.750 0.750 0.750
Ge 0.000 0.000 0.000
Ir 0.250 0.250 0.250
Ga 0.500 0.500 0.500

## Properties
theoretical density: 10.39 g cm⁻³
symmetry: F-43m (216)

Energy: -44.24; -44.17; -57.79; -26.74; -26.80; -20.57 (eV/cell)